Record 1
VASP calculation (PBE) on a geometry-optimized SrHf2Pt2 structure.

Properties
Formation enthalpy at 0 K (kJ per mole of atoms): -83.6
Mass density (g/cm3): 11.70
DOS at the Fermi energy (states/eV/cell): 5.42
Electronic total energy (eV per atom): -7.600

Unit cell a=4.6365 b=4.6365 c=11.0270 alpha=90.00 beta=90.00 gamma=90.00
Space group I4/mmm (No. 139)
One atom of each set of equivalent atoms:
1 Sr 0.0000 0.0000 0.0000
2 Hf 0.0000 0.5000 0.2500
3 Pt 0.0000 0.0000 0.3745

---

Record 2
VASP calculation (PBE) on a geometry-optimized SrHf2Pt2 structure.

Properties
Formation enthalpy at 0 K (kJ per mole of atoms): -59.9
Mass density (g/cm3): 12.72
DOS at the Fermi energy (states/eV/cell): 8.74
Electronic total energy (eV per atom): -7.355

Unit cell a=8.0841 b=8.0841 c=3.3361 alpha=90.00 beta=90.00 gamma=90.00
Space group P4/mbm (No. 127)
One atom of each set of equivalent atoms:
1 Sr 0.0000 0.0000 0.0000
2 Hf 0.1517 0.3483 0.5000
3 Pt 0.1296 0.6296 0.0000

---

Record 3
VASP calculation (PBE) on a geometry-optimized SrHfPt2 structure.

Properties
Formation enthalpy at 0 K (kJ per mole of atoms): -46.7
Mass density (g/cm3): 10.66
DOS at the Fermi energy (states/eV/cell): 12.36
Electronic total energy (eV per atom): -6.413

Unit cell a=7.5951 b=7.5951 c=7.0896 alpha=90.00 beta=90.00 gamma=90.00
Space group I-42d (No. 122)
One atom of each set of equivalent atoms:
1 Sr 0.0000 0.0000 0.0000
2 Hf 0.0000 0.0000 0.5000
3 Pt 0.1951 0.2500 0.6250

---

Record 4
VASP calculation (PBE) on a geometry-optimized SrHf3Pt structure.

Properties
Formation enthalpy at 0 K (kJ per mole of atoms): 16.8
Mass density (g/cm3): 9.68
DOS at the Fermi energy (states/eV/cell): 7.67
Electronic total energy (eV per atom): -7.343

Unit cell a=5.1965 b=5.1965 c=5.1965 alpha=90.00 beta=90.00 gamma=90.00
Space group Pm-3m (No. 221)
One atom of each set of equivalent atoms:
1 Sr 0.0000 0.0000 0.0000
2 Hf 0.0000 0.5000 0.5000
3 Pt 0.5000 0.5000 0.5000

---

Record 5
VASP calculation (PBE) on a geometry-optimized SrHfPt3 structure.

Properties
Formation enthalpy at 0 K (kJ per mole of atoms): 126.1
Mass density (g/cm3): 11.01
DOS at the Fermi energy (states/eV/cell): 3.23
Electronic total energy (eV per atom): -4.645

Unit cell a=5.0451 b=5.0451 c=5.0451 alpha=90.00 beta=90.00 gamma=90.00
Space group Pm-3m (No. 221)
One atom of each set of equivalent atoms:
1 Sr 0.0000 0.0000 0.0000
2 Hf 0.5000 0.5000 0.5000
3 Pt 0.0000 0.0000 0.5000

---

Record 6
VASP calculation (PBE) on a geometry-optimized SrHf2Pt2 structure.

Properties
Formation enthalpy at 0 K (kJ per mole of atoms): -53.0
Mass density (g/cm3): 10.88
DOS at the Fermi energy (states/eV/cell): 10.97
Electronic total energy (eV per atom): -7.283

Unit cell a=4.9552 b=4.9552 c=10.3816 alpha=90.00 beta=90.00 gamma=90.00
Space group I4/mmm (No. 139)
One atom of each set of equivalent atoms:
1 Sr 0.0000 0.0000 0.0000
2 Hf 0.0000 0.0000 0.3460
3 Pt 0.0000 0.5000 0.2500

---

Record 7
VASP calculation (PBE) on a geometry-optimized SrHfPt2 structure.

Properties
Formation enthalpy at 0 K (kJ per mole of atoms): -92.2
Mass density (g/cm3): 12.55
DOS at the Fermi energy (states/eV/cell): 2.71
Electronic total energy (eV per atom): -6.885

Unit cell a=3.3892 b=3.3892 c=7.5623 alpha=90.00 beta=90.00 gamma=90.00
Space group P4/mmm (No. 123)
One atom of each set of equivalent atoms:
1 Sr 0.0000 0.0000 0.0000
2 Hf 0.0000 0.0000 0.5000
3 Pt 0.5000 0.5000 0.3062

---

Record 8
VASP calculation (PBE) on a geometry-optimized SrHf3Pt structure.

Properties
Formation enthalpy at 0 K (kJ per mole of atoms): 203.2
Mass density (g/cm3): 11.02
DOS at the Fermi energy (states/eV/cell): 8.84
Electronic total energy (eV per atom): -5.411

Unit cell a=4.9764 b=4.9764 c=4.9764 alpha=90.00 beta=90.00 gamma=90.00
Space group Pm-3m (No. 221)
One atom of each set of equivalent atoms:
1 Sr 0.0000 0.0000 0.0000
2 Hf 0.0000 0.0000 0.5000
3 Pt 0.5000 0.5000 0.5000

---

What did the second record say?
VASP calculation (PBE) on a geometry-optimized SrHf2Pt2 structure.

Properties
Formation enthalpy at 0 K (kJ per mole of atoms): -59.9
Mass density (g/cm3): 12.72
DOS at the Fermi energy (states/eV/cell): 8.74
Electronic total energy (eV per atom): -7.355

Unit cell a=8.0841 b=8.0841 c=3.3361 alpha=90.00 beta=90.00 gamma=90.00
Space group P4/mbm (No. 127)
One atom of each set of equivalent atoms:
1 Sr 0.0000 0.0000 0.0000
2 Hf 0.1517 0.3483 0.5000
3 Pt 0.1296 0.6296 0.0000

---

- What is the mass density in the second record?
  12.72 g/cm3

---

- Among the records above, which one has the lowest DOS at the Fermi energy?
  number 7